Entry 1:
A plane-wave DFT calculation with GGA-PBE was carried out for a relaxed structure of LaEuAs.

* excess energy over the best structure of this formula in the dataset: 0.070 eV per atom
* energy of formation from the pure elements: -800 meV/atom

Unit cell a=3.823 b=3.823 c=7.272 alpha=105.24 beta=105.24 gamma=90.00
Fractional positions:
As 0.675 0.675 0.351
Eu 0.040 0.040 0.080
La 0.285 0.285 0.569

Entry 2:
A plane-wave DFT calculation with GGA-PBE was carried out for a relaxed structure of LaEuAsPd.

* energy of formation from the pure elements: -961 meV/atom

Unit cell a=5.221 b=5.221 c=5.221 alpha=60.00 beta=60.00 gamma=60.00
Fractional positions:
Eu 0.250 0.250 0.250
La 0.750 0.750 0.750
As 0.000 0.000 0.000
Pd 0.500 0.500 0.500

Entry 3:
A plane-wave DFT calculation with GGA-PBE was carried out for a relaxed structure of LiEu2As.

* excess energy over the best structure of this formula in the dataset: 0.000 eV per atom
* energy of formation from the pure elements: -610 meV/atom

Unit cell a=4.172 b=4.992 c=4.992 alpha=90.00 beta=90.00 gamma=90.00
Fractional positions:
Eu 0.000 0.500 0.000
Eu 0.000 0.000 0.500
As 0.500 0.500 0.500
Li 0.500 0.000 0.000

Entry 4:
A plane-wave DFT calculation with GGA-PBE was carried out for a relaxed structure of LiEuAs2.

* energy of formation from the pure elements: -712 meV/atom

Unit cell a=4.121 b=4.527 c=4.527 alpha=90.00 beta=90.00 gamma=90.00
Fractional positions:
As 0.000 0.000 0.500
As 0.000 0.500 0.000
Eu 0.500 0.500 0.500
Li 0.500 0.000 0.000

Entry 5:
A plane-wave DFT calculation with GGA-PBE was carried out for a relaxed structure of LiEuAsS3.

* energy relative to the elements, uncorrected: -25.582 kcal/mol of atoms

Unit cell a=13.158 b=5.723 c=7.219 alpha=75.09 beta=90.00 gamma=90.00
Fractional positions:
Eu 0.580 0.673 0.230
Eu 0.080 0.327 0.270
Eu 0.920 0.673 0.730
Eu 0.420 0.327 0.770
S 0.627 0.292 0.615
S 0.873 0.292 0.115
S 0.546 0.198 0.144
S 0.717 0.746 0.896
S 0.783 0.746 0.396
S 0.954 0.198 0.644
S 0.217 0.254 0.604
S 0.373 0.708 0.385
S 0.046 0.802 0.356
S 0.454 0.802 0.856
S 0.127 0.708 0.885
S 0.283 0.254 0.104
As 0.598 0.879 0.665
As 0.902 0.879 0.165
As 0.098 0.121 0.835
As 0.402 0.121 0.335
Li 0.207 0.710 0.570
Li 0.707 0.290 0.930
Li 0.793 0.290 0.430
Li 0.293 0.710 0.070

Entry 6:
A plane-wave DFT calculation with GGA-PBE was carried out for a relaxed structure of EuMgAs.

* energy of formation from the pure elements: -747 meV/atom

Unit cell a=4.416 b=4.473 c=4.473 alpha=120.00 beta=90.00 gamma=90.00
Fractional positions:
Mg 0.166 0.333 0.667
Eu 0.667 0.667 0.333
As 0.167 0.000 0.000

Entry 7:
A plane-wave DFT calculation with GGA-PBE was carried out for a relaxed structure of Eu2MgAs.

* energy of formation from the pure elements: -630 meV/atom

Unit cell a=3.916 b=3.916 c=7.399 alpha=90.00 beta=90.00 gamma=90.00
Fractional positions:
Eu 0.000 0.000 0.788
Eu 0.000 0.000 0.212
As 0.500 0.500 0.000
Mg 0.500 0.500 0.500

Entry 8:
A plane-wave DFT calculation with GGA-PBE was carried out for a relaxed structure of EuMn2As2.

* energy of formation from the pure elements: -510 meV/atom

Unit cell a=4.011 b=4.011 c=7.128 alpha=90.00 beta=90.00 gamma=120.00
Fractional positions:
As 0.667 0.333 0.726
As 0.333 0.667 0.274
Mn 0.667 0.333 0.386
Mn 0.333 0.667 0.614
Eu 0.000 0.000 0.000

Entry 9:
A plane-wave DFT calculation with GGA-PBE was carried out for a relaxed structure of EuMnAs2.

* energy of formation from the pure elements: -667 meV/atom

Unit cell a=3.955 b=3.955 c=6.540 alpha=72.40 beta=72.40 gamma=60.00
Fractional positions:
As 0.729 0.729 0.812
As 0.271 0.271 0.188
Mn 0.000 0.000 0.000
Eu 0.500 0.500 0.500

Entry 10:
A plane-wave DFT calculation with GGA-PBE was carried out for a relaxed structure of EuMoAs2.

* excess energy over the best structure of this formula in the dataset: 0.000 eV per atom
* energy of formation from the pure elements: -520 meV/atom

Unit cell a=3.843 b=3.843 c=7.029 alpha=74.14 beta=74.14 gamma=60.00
Fractional positions:
As 0.736 0.736 0.792
As 0.264 0.264 0.208
Mo 0.000 0.000 0.000
Eu 0.500 0.500 0.500

Entry 11:
A plane-wave DFT calculation with GGA-PBE was carried out for a relaxed structure of EuMoAs2.

* excess energy over the best structure of this formula in the dataset: 0.034 eV per atom
* energy of formation from the pure elements: -485 meV/atom

Unit cell a=3.242 b=3.242 c=7.320 alpha=90.00 beta=90.00 gamma=90.00
Fractional positions:
As 0.000 0.000 0.200
As 0.000 0.000 0.800
Eu 0.500 0.500 0.500
Mo 0.500 0.500 0.000

Entry 12:
A plane-wave DFT calculation with GGA-PBE was carried out for a relaxed structure of NaEu2As.

* excess energy over the best structure of this formula in the dataset: 0.037 eV per atom
* energy of formation from the pure elements: -551 meV/atom

Unit cell a=4.276 b=4.276 c=11.220 alpha=79.01 beta=79.01 gamma=60.00
Fractional positions:
As 0.500 0.500 0.500
Na 0.000 0.000 0.000
Eu 0.116 0.116 0.651
Eu 0.884 0.884 0.349

Entry 13:
A plane-wave DFT calculation with GGA-PBE was carried out for a relaxed structure of NaEu2As.

* excess energy over the best structure of this formula in the dataset: 0.000 eV per atom
* energy of formation from the pure elements: -588 meV/atom

Unit cell a=3.902 b=3.902 c=8.418 alpha=90.00 beta=90.00 gamma=90.00
Fractional positions:
Eu 0.000 0.000 0.186
Eu 0.000 0.000 0.814
Na 0.500 0.500 0.500
As 0.500 0.500 0.000

Entry 14:
A plane-wave DFT calculation with GGA-PBE was carried out for a relaxed structure of NaEu3As.

* energy of formation from the pure elements: -450 meV/atom

Unit cell a=5.939 b=5.939 c=5.939 alpha=90.00 beta=90.00 gamma=90.00
Fractional positions:
As 0.000 0.000 0.000
Eu 0.500 0.000 0.000
Eu 0.000 0.000 0.500
Eu 0.000 0.500 0.000
Na 0.500 0.500 0.500

Entry 15:
A plane-wave DFT calculation with GGA-PBE was carried out for a relaxed structure of NaEuAsS4.

* energy relative to the elements, uncorrected: -21.779 kcal/mol of atoms

Unit cell a=6.065 b=6.065 c=10.054 alpha=90.00 beta=90.00 gamma=111.51
Fractional positions:
Eu 0.039 0.039 0.000
Eu 0.039 0.039 0.500
S 0.166 0.600 0.068
S 0.600 0.166 0.568
S 0.303 0.131 0.250
S 0.166 0.600 0.432
S 0.131 0.303 0.750
S 0.740 0.873 0.250
S 0.873 0.740 0.750
S 0.600 0.166 0.932
Na 0.775 0.406 0.250
Na 0.406 0.775 0.750
As 0.783 0.348 0.750
As 0.348 0.783 0.250

Entry 16:
A plane-wave DFT calculation with GGA-PBE was carried out for a relaxed structure of Na4Eu2SnAs4.

* energy of formation from the pure elements: -565 meV/atom

Unit cell a=9.115 b=9.115 c=8.122 alpha=74.75 beta=74.75 gamma=73.11
Fractional positions:
Na 0.940 0.050 0.742
Na 0.837 0.716 0.108
Na 0.855 0.460 0.554
Na 0.521 0.180 0.770
Na 0.716 0.837 0.608
Na 0.180 0.521 0.270
Na 0.460 0.855 0.054
Na 0.050 0.940 0.242
As 0.243 0.999 0.837
As 0.431 0.307 0.083
As 0.999 0.243 0.337
As 0.307 0.431 0.583
As 0.143 0.752 0.944
As 0.550 0.794 0.374
As 0.752 0.143 0.444
As 0.794 0.550 0.874
Eu 0.599 0.451 0.260
Eu 0.116 0.316 0.948
Eu 0.451 0.599 0.760
Eu 0.316 0.116 0.448
Sn 0.061 0.680 0.664
Sn 0.680 0.061 0.164

Entry 17:
A plane-wave DFT calculation with GGA-PBE was carried out for a relaxed structure of EuNbAs2.

* excess energy over the best structure of this formula in the dataset: 0.000 eV per atom
* energy of formation from the pure elements: -842 meV/atom

Unit cell a=3.871 b=3.871 c=7.176 alpha=74.35 beta=74.35 gamma=60.00
Fractional positions:
Eu 0.500 0.500 0.500
As 0.261 0.261 0.217
As 0.739 0.739 0.783
Nb 0.000 0.000 0.000

Entry 18:
A plane-wave DFT calculation with GGA-PBE was carried out for a relaxed structure of EuNbAs2.

* excess energy over the best structure of this formula in the dataset: 0.177 eV per atom
* energy of formation from the pure elements: -665 meV/atom

Unit cell a=3.352 b=3.352 c=7.234 alpha=90.00 beta=90.00 gamma=90.00
Fractional positions:
Nb 0.500 0.500 0.000
Eu 0.500 0.500 0.500
As 0.000 0.000 0.206
As 0.000 0.000 0.794

Entry 19:
A plane-wave DFT calculation with GGA-PBE was carried out for a relaxed structure of EuNiAs2.

* energy of formation from the pure elements: -177 meV/atom

Unit cell a=3.794 b=3.794 c=8.270 alpha=76.74 beta=76.74 gamma=60.00
Fractional positions:
As 0.874 0.874 0.377
As 0.126 0.126 0.623
Ni 0.500 0.500 0.500
Eu 0.000 0.000 0.000

Entry 20:
A plane-wave DFT calculation with GGA-PBE was carried out for a relaxed structure of EuNi5As3.

* energy of formation from the pure elements: -547 meV/atom

Unit cell a=6.389 b=6.389 c=11.857 alpha=90.00 beta=90.00 gamma=145.90
Fractional positions:
Ni 0.194 0.806 0.566
Ni 0.450 0.550 0.144
Ni 0.550 0.450 0.644
Ni 0.806 0.194 0.066
Ni 0.194 0.806 0.934
Ni 0.806 0.194 0.434
Ni 0.000 0.000 0.000
Ni 0.550 0.450 0.856
Ni 0.000 0.000 0.500
Ni 0.450 0.550 0.356
As 0.380 0.620 0.544
As 0.620 0.380 0.456
As 0.620 0.380 0.044
As 0.115 0.885 0.750
As 0.885 0.115 0.250
As 0.380 0.620 0.956
Eu 0.837 0.163 0.750
Eu 0.163 0.837 0.250

Entry 21:
A plane-wave DFT calculation with GGA-PBE was carried out for a relaxed structure of PmEuNiAs.

* energy of formation from the pure elements: -600 meV/atom

Unit cell a=5.071 b=5.071 c=5.071 alpha=60.00 beta=60.00 gamma=60.00
Fractional positions:
Ni 0.750 0.750 0.750
Eu 0.000 0.000 0.000
As 0.250 0.250 0.250
Pm 0.500 0.500 0.500

Entry 22:
A plane-wave DFT calculation with GGA-PBE was carried out for a relaxed structure of Eu2NpAs.

* energy of formation from the pure elements: 16 meV/atom

Unit cell a=3.900 b=3.900 c=10.451 alpha=79.25 beta=79.25 gamma=60.00
Fractional positions:
Eu 0.227 0.227 0.318
Eu 0.773 0.773 0.682
Np 0.000 0.000 0.000
As 0.500 0.500 0.500

Entry 23:
A plane-wave DFT calculation with GGA-PBE was carried out for a relaxed structure of EuNpAs2.

* excess energy over the best structure of this formula in the dataset: 0.239 eV per atom
* energy of formation from the pure elements: -715 meV/atom

Unit cell a=3.563 b=3.563 c=7.354 alpha=90.00 beta=90.00 gamma=90.00
Fractional positions:
Np 0.500 0.500 0.000
As 0.000 0.000 0.235
As 0.000 0.000 0.765
Eu 0.500 0.500 0.500

Entry 24:
A plane-wave DFT calculation with GGA-PBE was carried out for a relaxed structure of EuNpAs2.

* excess energy over the best structure of this formula in the dataset: 0.000 eV per atom
* energy of formation from the pure elements: -954 meV/atom

Unit cell a=4.181 b=4.181 c=7.348 alpha=73.47 beta=73.47 gamma=60.00
Fractional positions:
Eu 0.500 0.500 0.500
Np 0.000 0.000 0.000
As 0.743 0.743 0.772
As 0.257 0.257 0.228

Entry 25:
A plane-wave DFT calculation with GGA-PBE was carried out for a relaxed structure of EuAsO2.

* energy relative to the elements, uncorrected: -22.391 kcal/mol of atoms

Unit cell a=3.462 b=3.462 c=7.000 alpha=75.68 beta=75.68 gamma=60.00
Fractional positions:
As 0.500 0.500 0.500
O 0.115 0.115 0.655
O 0.885 0.885 0.345
Eu 0.000 0.000 0.000

Entry 26:
A plane-wave DFT calculation with GGA-PBE was carried out for a relaxed structure of Eu2AsO.

* energy relative to the elements, uncorrected: -36.541 kcal/mol of atoms

Unit cell a=4.580 b=4.580 c=7.771 alpha=72.86 beta=72.86 gamma=60.00
Fractional positions:
As 0.500 0.500 0.500
Eu 0.095 0.095 0.714
Eu 0.905 0.905 0.286
O 0.000 0.000 0.000

Entry 27:
A plane-wave DFT calculation with GGA-PBE was carried out for a relaxed structure of EuAsO3.

* energy relative to the elements, uncorrected: -42.578 kcal/mol of atoms

Unit cell a=3.997 b=3.997 c=3.997 alpha=90.00 beta=90.00 gamma=90.00
Fractional positions:
O 0.500 0.000 0.500
O 0.000 0.500 0.500
O 0.500 0.500 0.000
As 0.500 0.500 0.500
Eu 0.000 0.000 0.000